*1*
Compound: Sc2SBr
Source: the Alexandria database
Functional: PBE
Structure: relaxed

a = 3.727 Å, b = 6.307 Å, c = 8.238 Å
α = 89.95°, β = 89.99°, γ = 90.00°
Each line ends with the local moment (μB).
Positions (direct):
Sc: 0.701 0.686 0.267  0.17
Sc: 0.701 0.507 0.696  0.20
Sc: 0.201 0.006 0.520  0.20
Sc: 0.201 0.187 0.950  0.17
S: 0.201 0.935 0.204  -0.01
S: 0.701 0.435 0.012  -0.01
Br: 0.201 0.806 0.798  0.01
Br: 0.701 0.305 0.418  0.01

Properties
Crystal system: monoclinic
SG: Pm (6)

=====

*2*
Compound: Sc2SBr
Source: the Alexandria database
Functional: PBE
Structure: relaxed

a = 4.697 Å, b = 4.697 Å, c = 4.697 Å
α = 60.00°, β = 60.00°, γ = 60.00°
Positions (direct):
Sc: 0.250 0.250 0.250
Sc: 0.750 0.750 0.750
S: 0.000 0.000 0.000
Br: 0.500 0.500 0.500

Properties
Crystal system: cubic
SG: Fm-3m (225)

=====

*3*
Compound: Sc2SBr
Source: the Alexandria database
Functional: PBE
Structure: relaxed

a = 3.807 Å, b = 3.807 Å, c = 6.924 Å
α = 74.04°, β = 74.04°, γ = 60.00°
Positions (direct):
Sc: 0.273 0.273 0.181
Sc: 0.727 0.727 0.819
S: 0.000 0.000 0.000
Br: 0.500 0.500 0.500

Properties
Crystal system: trigonal
SG: R-3m (166)

=====

*4*
Compound: Sc2SBr
Source: the Alexandria database
Functional: PBE
Structure: relaxed

a = 3.664 Å, b = 3.664 Å, c = 7.261 Å
α = 75.39°, β = 75.39°, γ = 60.00°
Positions (direct):
Sc: 0.067 0.067 0.800
Sc: 0.269 0.269 0.193
S: 0.668 0.668 0.997
Br: 0.497 0.497 0.510

Properties
Crystal system: trigonal
SG: R3m (160)

=====

Relative energies with respect to the most stable structure, expressed in eV/atom: *1* 0.229; *2* 0.327; *3* 0.000; *4* 0.018.

=====

*1*
Compound: ScS2Br
Source: the Alexandria database
Functional: PBE
Structure: relaxed

a = 8.831 Å, b = 8.831 Å, c = 8.831 Å
α = 24.86°, β = 24.86°, γ = 24.86°
Positions (direct):
Sc: 0.000 0.000 0.000
S: 0.910 0.910 0.910
S: 0.090 0.090 0.090
Br: 0.500 0.500 0.500

Properties
Crystal system: trigonal
SG: R-3m (166)

=====

*2*
Compound: ScS2Br
Source: the Alexandria database
Functional: PBE
Structure: relaxed

a = 7.883 Å, b = 7.883 Å, c = 7.883 Å
α = 28.53°, β = 28.53°, γ = 28.53°
Positions (direct):
Sc: 0.500 0.500 0.500
S: 0.892 0.892 0.892
S: 0.108 0.108 0.108
Br: 0.000 0.000 0.000

Properties
Crystal system: trigonal
SG: R-3m (166)

=====

*3*
Compound: ScS2Br
Source: the Alexandria database
Functional: PBE
Structure: relaxed

a = 6.392 Å, b = 6.392 Å, c = 7.491 Å
α = 64.75°, β = 64.75°, γ = 90.00°
Positions (direct):
Sc: 0.500 0.500 0.000
Sc: 0.250 0.750 0.500
S: 0.546 0.125 0.250
S: 0.204 0.625 0.250
S: 0.375 0.454 0.750
S: 0.875 0.796 0.750
Br: 0.000 0.000 0.000
Br: 0.750 0.250 0.500

Properties
Crystal system: tetragonal
SG: I-42d (122)

=====

*4*
Compound: ScS2Br
Source: the Alexandria database
Functional: PBE
Structure: relaxed

a = 4.766 Å, b = 4.766 Å, c = 4.766 Å
α = 60.00°, β = 60.00°, γ = 60.00°
Positions (direct):
Sc: 0.000 0.000 0.000
S: 0.250 0.250 0.250
S: 0.750 0.750 0.750
Br: 0.500 0.500 0.500

Properties
Crystal system: cubic
SG: Fm-3m (225)

=====

Relative energies with respect to the most stable structure, expressed in eV/atom: *1* 1.475; *2* 0.000; *3* 0.568; *4* 0.830.

=====

*1*
Compound: ScSeSBr2
Source: the Alexandria database
Functional: PBE
Structure: relaxed

a = 5.249 Å, b = 5.249 Å, c = 5.375 Å
α = 90.00°, β = 90.00°, γ = 90.00°
Each line ends with the local moment (μB).
Positions (direct):
Sc: 0.000 0.000 0.000  0.02
S: 0.500 0.500 0.500  1.18
Se: 0.000 0.000 0.500  0.45
Br: 0.000 0.500 0.000  0.07
Br: 0.500 0.000 0.000  0.07

Properties
Crystal system: tetragonal
SG: P4/mmm (123)

=====

*2*
Compound: ScSeSBr2
Source: the Alexandria database
Functional: PBE
Structure: relaxed

a = 5.131 Å, b = 5.131 Å, c = 4.938 Å
α = 90.00°, β = 90.00°, γ = 90.00°
Each line ends with the local moment (μB).
Positions (direct):
Sc: 0.500 0.500 0.500  0.67
S: 0.000 0.000 0.000  -0.03
Se: 0.000 0.000 0.500  -0.05
Br: 0.000 0.500 0.000  -0.02
Br: 0.500 0.000 0.000  -0.02

Properties
Crystal system: tetragonal
SG: P4/mmm (123)

=====

Relative energies with respect to the most stable structure, expressed in eV/atom: *1* 0.000; *2* 0.449.

=====

*1*
Compound: SeS2Br
Source: the Alexandria database
Functional: PBE
Structure: relaxed

a = 3.451 Å, b = 5.221 Å, c = 6.679 Å
α = 81.23°, β = 90.05°, γ = 89.70°
Positions (direct):
Se: 0.269 0.845 0.485
S: 0.269 0.962 0.133
S: 0.269 0.670 0.990
Br: 0.330 0.352 0.504

Properties
Crystal system: triclinic
SG: P1 (1)

=====

*2*
Compound: SeS2Br
Source: the Alexandria database
Functional: PBE
Structure: relaxed

a = 7.125 Å, b = 7.125 Å, c = 6.339 Å
α = 55.81°, β = 55.81°, γ = 90.00°
Positions (direct):
S: 0.572 0.125 0.250
S: 0.178 0.625 0.250
S: 0.375 0.428 0.750
S: 0.875 0.822 0.750
Se: 0.500 0.500 0.000
Se: 0.250 0.750 0.500
Br: 0.000 0.000 0.000
Br: 0.750 0.250 0.500

Properties
Crystal system: tetragonal
SG: I-42d (122)

=====

Relative energies with respect to the most stable structure, expressed in eV/atom: *1* 0.000; *2* 0.404.